First-principles (PBE-GGA) data for a relaxed structure of Pm2Y3In4, as listed in the Alexandria database.

Calculated values
- spin magnetization (μB/f.u.) = 0.0
- energy of formation from the pure elements (meV/atom) = -312
- V (Å³ per atom) = 30.0

a b c (Å): 7.1214 16.5563 9.1705
angles (deg): 90.00 90.00 90.00
With the nearest neighbours (Å) after each atom.
Space group Cmce (No. 64)
Asymmetric unit:
Pm1 0.0000 0.1095 0.0760 (multiplicity 8)  5 In 3.33-3.72
Y1 0.0000 0.0000 0.5000 (multiplicity 4)  6 In 2.95-3.09
Y2 0.2500 0.2156 0.7500 (multiplicity 8)  5 In 3.07-3.24
In1 0.0000 0.1856 0.4602 (multiplicity 8)  5 Y 3.09-3.24
In2 0.2500 0.0304 0.7500 (multiplicity 8)  3 Y 2.95-3.07

---

First-principles (PBE-GGA) data for a relaxed structure of Ta2MnC, as listed in the Alexandria database.

Calculated values
- spin magnetization (μB/f.u.) = 1.0
- energy of formation from the pure elements (meV/atom) = 113
- V (Å³ per atom) = 14.5

a b c (Å): 7.7315 7.7315 3.8816
angles (deg): 90.00 90.00 90.00
With the nearest neighbours (Å) after each atom.
Space group I-42d (No. 122)
Asymmetric unit:
Ta1 0.1091 0.2500 0.1250 (multiplicity 8)  2 C 2.16
Mn1 0.0000 0.0000 0.5000 (multiplicity 4)  2 C 1.94
C1 0.0000 0.0000 0.0000 (multiplicity 4)  2 Mn 1.94, 4 Ta 2.16

---

First-principles (PBE-GGA) data for a relaxed structure of CaTb3Pt, as listed in the Alexandria database.

Calculated values
- spin magnetization (μB/f.u.) = 0.4
- energy of formation from the pure elements (meV/atom) = -375
- V (Å³ per atom) = 34.2

a b c (Å): 5.5519 5.5519 5.5519
angles (deg): 90.00 90.00 90.00
With the nearest neighbours (Å) after each atom.
Space group Pm-3m (No. 221)
Asymmetric unit:
Ca1 0.0000 0.0000 0.0000 (multiplicity 1)  12 Tb 3.93
Tb1 0.0000 0.5000 0.5000 (multiplicity 3)  2 Pt 2.78
Pt1 0.5000 0.5000 0.5000 (multiplicity 1)  6 Tb 2.78

---

First-principles (PBE-GGA) data for a relaxed structure of Sc3ZnHg3, as listed in the Alexandria database.

Calculated values
- spin magnetization (μB/f.u.) = 0.6
- energy of formation from the pure elements (meV/atom) = -251
- V (Å³ per atom) = 22.3

a b c (Å): 9.8132 9.6222 6.6050
angles (deg): 90.00 90.03 90.00
With the nearest neighbours (Å) after each atom.
Space group C2/m (No. 12)
Asymmetric unit:
Sc1 0.9998 0.0000 0.2351 (multiplicity 4)  2 Zn 3.00-3.01, 4 Hg 3.11-3.13, 1 Sc 3.11
Sc2 0.2500 0.2493 0.2390 (multiplicity 8)  2 Zn 2.88, 6 Hg 2.96-3.01, 1 Sc 3.16
Zn1 0.2374 0.5000 0.0011 (multiplicity 4)  6 Sc 2.88-3.01, 2 Hg 2.93
Hg1 0.0000 0.2696 0.5000 (multiplicity 4)  6 Sc 3.00-3.13, 4 Hg 3.22-3.33
Hg2 0.0000 0.3161 0.0000 (multiplicity 4)  2 Zn 2.93, 4 Sc 2.99
Hg3 0.2379 0.5000 0.4987 (multiplicity 4)  6 Sc 2.96-3.12, 2 Hg 3.22, 1 Zn 3.29

---

First-principles (PBE-GGA) data for a relaxed structure of CaTc2Mo, as listed in the Alexandria database.

Calculated values
- spin magnetization (μB/f.u.) = 0.0
- energy of formation from the pure elements (meV/atom) = 479
- V (Å³ per atom) = 17.2

a b c (Å): 3.1440 4.7055 9.2846
angles (deg): 90.00 90.00 90.00
With the nearest neighbours (Å) after each atom.
Space group Imm2 (No. 44)
Asymmetric unit:
Ca1 0.0000 0.0000 0.0000 (multiplicity 2)  6 Tc 2.83-2.96, 4 Mo 2.99-3.15, 2 Ca 3.14
Tc1 0.0000 0.0000 0.4985 (multiplicity 2)  2 Mo 2.61, 2 Tc 2.66, 4 Ca 2.83
Tc2 0.0000 0.5000 0.2301 (multiplicity 2)  2 Tc 2.66, 4 Mo 2.86, 2 Ca 2.96
Mo1 0.0000 0.5000 0.7740 (multiplicity 2)  6 Tc 2.61-2.86

---

First-principles (PBE-GGA) data for a relaxed structure of SrOs2Cl, as listed in the Alexandria database.

Calculated values
- spin magnetization (μB/f.u.) = 0.0
- formation energy from raw total energies (meV per atom) = 845.0
- V (Å³ per atom) = 21.7

a b c (Å): 2.8903 5.4756 5.4819
angles (deg): 90.00 90.00 90.00
With the nearest neighbours (Å) after each atom.
Space group Pmmm (No. 47)
Asymmetric unit:
Sr1 0.0000 0.0000 0.0000 (multiplicity 1)  2 Cl 2.74, 2 Sr 2.89
Os1 0.5000 0.2058 0.5000 (multiplicity 2)  1 Os 2.25
Cl1 0.0000 0.5000 0.0000 (multiplicity 1)  2 Sr 2.74, 2 Cl 2.89

---

First-principles (PBE-GGA) data for a relaxed structure of Pa3S5I3, as listed in the Alexandria database.

Calculated values
- spin magnetization (μB/f.u.) = 2.1
- formation energy from raw total energies (meV per atom) = -1229.0
- V (Å³ per atom) = 33.6

a b c (Å): 8.3107 8.3107 6.1852
angles (deg): 90.00 90.00 120.00
With the nearest neighbours (Å) after each atom.
Space group P-62m (No. 189)
Asymmetric unit:
Pa1 0.0000 0.3642 0.0000 (multiplicity 3)  4 S 2.65-2.68
S1 0.0000 0.7486 0.0000 (multiplicity 3)  2 Pa 2.68
S2 0.3333 0.6667 0.0000 (multiplicity 2)  3 Pa 2.65
I1 0.0000 0.3748 0.5000 (multiplicity 3)  2 Pa 3.09

---

First-principles (PBE-GGA) data for a relaxed structure of MnSbPb2, as listed in the Alexandria database.

Calculated values
- spin magnetization (μB/f.u.) = 4.3
- formation energy from raw total energies (meV per atom) = 331.6
- V (Å³ per atom) = 27.5

a b c (Å): 6.1299 6.4251 11.1822
angles (deg): 90.00 90.00 90.00
With the nearest neighbours (Å) after each atom.
Space group Fmmm (No. 69)
Asymmetric unit:
Mn1 0.0000 0.0000 0.0000 (multiplicity 4)  4 Sb 3.06-3.21, 4 Pb 3.22
Sb1 0.0000 0.0000 0.5000 (multiplicity 4)  4 Mn 3.06-3.21, 4 Pb 3.22
Pb1 0.0000 0.2500 0.2500 (multiplicity 8)  4 Pb 3.06-3.21, 2 Mn 3.22, 2 Sb 3.22